Entry 1:
The following is a DFT calculation (GGA-PBE) of a relaxed structure of Cu2Ag3.

```
Cu2Ag3
1.0
2.8480 0.0000 0.0000
0.0000 3.8036 0.0000
0.0000 0.0000 14.3765
Cu Ag
4 6
Direct
0.0000 0.0000 0.0000 Cu
0.0000 0.0000 0.1923 Cu
0.0000 0.0000 0.8067 Cu
0.5000 0.5000 0.2812 Cu
0.0000 0.0000 0.3762 Ag
0.0000 0.0000 0.5977 Ag
0.5000 0.5000 0.0978 Ag
0.5000 0.5000 0.4867 Ag
0.5000 0.5000 0.7081 Ag
0.5000 0.5000 0.9028 Ag
```

Computed properties:
Formation energy, eV per atom: 0.08
Excess energy over the best structure of this formula in the dataset, eV/f.u.: 0.262
Space group: Pmm2 (25)


Entry 2:
The following is a DFT calculation (GGA-PBE) of a relaxed structure of Ba2HgGe.

```
Ba2HgGe
1.0
0.0000 4.0531 4.0531
4.0531 0.0000 4.0531
4.0531 4.0531 0.0000
Ba Hg Ge
2 1 1
Direct
0.0000 0.0000 0.0000 Ba
0.2500 0.2500 0.2500 Ba
0.7500 0.7500 0.7500 Hg
0.5000 0.5000 0.5000 Ge
```

Computed properties:
VASP energy, eV/atom: -2.358
Space group: F-43m (216)


Entry 3:
The following is a DFT calculation (GGA-PBE) of a relaxed structure of Sc4Ta2Si3N3.

```
Sc4Ta2Si3N3
1.0
4.7361 -2.7443 0.0000
4.7361 2.7443 0.0000
-3.1701 0.0000 13.2452
Sc Ta Si N
8 4 6 6
Direct
0.0356 0.1960 0.0980 Sc
0.1298 0.3011 0.4020 Sc
0.1960 0.0356 0.5980 Sc
0.3011 0.1298 0.9020 Sc
0.6989 0.8702 0.0980 Sc
0.8040 0.9644 0.4020 Sc
0.8702 0.6989 0.5980 Sc
0.9644 0.8040 0.9020 Sc
0.3583 0.5280 0.0843 Ta
0.4720 0.6417 0.4157 Ta
0.5280 0.3583 0.5843 Ta
0.6417 0.4720 0.9157 Ta
0.1400 0.8600 0.2500 Si
0.3042 0.4177 0.7507 Si
0.4177 0.3042 0.2507 Si
0.5823 0.6958 0.7493 Si
0.6958 0.5823 0.2493 Si
0.8600 0.1400 0.7500 Si
0.0000 0.5000 0.0000 N
0.1644 0.6679 0.5000 N
0.3321 0.8356 0.0000 N
0.5000 0.0000 0.5000 N
0.6679 0.1644 0.0000 N
0.8356 0.3321 0.5000 N
```

Computed properties:
VASP energy, eV/atom: -8.639
Space group: C2/c (15)